(1)
Be2GaTcSb (PBE, optimized geometry); VASP energy = -20.5 eV/cell; total moment = 0.055 μB/atom; calculated volume = 84.5 Å³/f.u.; symmetry = No. 123
1.0
-1.443 3.809 0.975
-4.456 -1.380 -1.207
-0.675 -1.263 3.936
Sb Tc Ga Be
1 1 1 2
direct
0.500 0.500 0.500
0.000 0.500 0.000
0.000 0.000 0.000
0.000 0.000 0.500
0.500 0.000 0.000

=====

(2)
BeGaSb2Te (PBE, optimized geometry); VASP energy = -13.0 eV/cell; total moment = 0.000 μB/atom; excess energy over the best structure of this formula in the dataset = 630 meV per atom; calculated volume = 150.8 Å³/f.u.; symmetry = No. 123
1.0
5.307 0.000 0.000
0.000 5.307 0.000
0.000 0.000 5.356
Sb Te Ga Be
2 1 1 1
direct
0.000 0.500 0.000
0.500 0.000 0.000
0.000 0.000 0.500
0.000 0.000 0.000
0.500 0.500 0.500

=====

(3)
BeGaSb2Te (PBE, optimized geometry); VASP energy = -16.1 eV/cell; total moment = 0.000 μB/atom; excess energy over the best structure of this formula in the dataset = 0 meV per atom; calculated volume = 128.1 Å³/f.u.; symmetry = No. 123
1.0
-2.215 4.270 0.647
-1.814 -0.260 -4.495
-4.390 -2.568 1.919
Sb Te Ga Be
2 1 1 1
direct
0.000 0.500 0.000
0.500 0.000 0.000
0.000 0.000 0.500
0.500 0.500 0.500
0.000 0.000 0.000

=====

(4)
YBeGaSb2 (PBE, optimized geometry); VASP energy = -21.0 eV/cell; total moment = 0.000 μB/atom; calculated volume = 120.0 Å³/f.u.; symmetry = No. 123
1.0
-1.052 -4.391 1.704
3.302 -2.094 -3.358
3.553 0.406 3.240
Y Sb Ga Be
1 2 1 1
direct
0.000 0.500 0.000
0.000 0.000 0.500
0.500 0.000 0.000
0.500 0.500 0.500
0.000 0.000 0.000

=====

(5)
ScBeGa (PBE, optimized geometry); VASP energy = -28.6 eV/cell; energy of formation = -405 meV per atom; total moment = 0.000 μB/atom; excess energy over the best structure of this formula in the dataset = 35 meV per atom; calculated volume = 46.8 Å³/f.u.; symmetry = No. 12
1.0
-4.584 -1.844 1.712
-0.354 -4.635 -2.395
2.830 0.056 2.878
Sc Be Ga
2 2 2
direct
0.298 0.450 0.627
0.748 0.888 0.571
0.901 0.481 0.944
0.144 0.857 0.254
0.738 0.305 0.275
0.307 0.033 0.923

=====

(6)
ScBe2Ga2 (PBE, optimized geometry); VASP energy = -21.1 eV/cell; energy of formation = -261 meV per atom; total moment = 0.000 μB/atom; excess energy over the best structure of this formula in the dataset = 33 meV per atom; calculated volume = 71.9 Å³/f.u.; symmetry = No. 139
1.0
-1.165 -1.250 3.350
2.047 -3.122 -0.453
4.402 0.088 3.675
Sc Be Ga
1 2 2
direct
0.000 0.000 0.000
0.750 0.250 0.500
0.250 0.750 0.500
0.381 0.381 0.238
0.619 0.619 0.762

=====

(7)
ScBeGa (PBE, optimized geometry); VASP energy = -28.8 eV/cell; energy of formation = -439 meV per atom; total moment = 0.000 μB/atom; excess energy over the best structure of this formula in the dataset = 0 meV per atom; calculated volume = 46.7 Å³/f.u.; symmetry = No. 194
1.0
-1.789 -2.340 -2.801
2.506 -1.661 2.736
-5.041 -0.969 4.030
Sc Be Ga
2 2 2
direct
0.000 0.500 0.500
0.000 0.500 0.000
0.333 0.167 0.750
0.667 0.833 0.250
0.666 0.834 0.750
0.334 0.166 0.250

=====

(8)
ScBeGa (PBE, optimized geometry); VASP energy = -28.2 eV/cell; energy of formation = -333 meV per atom; total moment = 0.000 μB/atom; excess energy over the best structure of this formula in the dataset = 106 meV per atom; calculated volume = 45.5 Å³/f.u.; symmetry = No. 74
1.0
-2.041 -1.145 -4.357
-2.810 -0.203 4.177
-1.207 4.355 2.227
Sc Be Ga
2 2 2
direct
0.492 0.003 0.195
0.246 0.258 0.450
0.869 0.630 0.822
0.369 0.630 0.822
0.869 0.130 0.822
0.869 0.630 0.322

=====

(9)
ScBe2Ga (PBE, optimized geometry); VASP energy = -33.0 eV/cell; energy of formation = 81 meV per atom; total moment = 0.000 μB/atom; calculated volume = 64.1 Å³/f.u.; symmetry = No. 141
1.0
4.093 0.000 0.000
0.000 4.093 0.000
2.047 2.047 7.655
Sc Be Ga
2 4 2
direct
0.500 0.500 0.000
0.250 0.750 0.500
0.875 0.125 0.250
0.875 0.625 0.250
0.375 0.125 0.750
0.875 0.125 0.750
0.000 0.000 0.000
0.750 0.250 0.500

=====

(10)
ScBeGa (PBE, optimized geometry); VASP energy = -28.2 eV/cell; energy of formation = -334 meV per atom; total moment = 0.000 μB/atom; excess energy over the best structure of this formula in the dataset = 105 meV per atom; calculated volume = 48.0 Å³/f.u.; symmetry = No. 160
1.0
-3.682 0.425 1.723
-0.407 -0.311 4.055
2.399 6.487 -1.322
Sc Be Ga
2 2 2
direct
0.320 0.628 0.101
0.154 0.462 0.603
0.028 0.336 0.227
0.909 0.217 0.870
0.734 0.042 0.343
0.571 0.880 0.856

=====

(11)
ScBeGa (PBE, optimized geometry); VASP energy = -28.1 eV/cell; energy of formation = -314 meV per atom; total moment = 0.000 μB/atom; excess energy over the best structure of this formula in the dataset = 126 meV per atom; calculated volume = 47.2 Å³/f.u.; symmetry = No. 12
1.0
5.666 0.000 -0.010
-1.376 4.763 0.001
-1.219 -0.355 3.503
Sc Be Ga
2 2 2
direct
0.102 0.105 0.017
0.607 0.514 0.769
0.303 0.666 0.117
0.406 0.953 0.669
0.047 0.560 0.489
0.662 0.059 0.297

=====

(12)
ScBeGa (PBE, optimized geometry); VASP energy = -28.5 eV/cell; energy of formation = -386 meV per atom; total moment = 0.000 μB/atom; excess energy over the best structure of this formula in the dataset = 54 meV per atom; calculated volume = 47.8 Å³/f.u.; symmetry = No. 129
1.0
-2.676 -2.543 -1.291
4.311 -4.522 -0.028
-0.923 -0.903 3.691
Sc Be Ga
2 2 2
direct
0.273 0.359 0.180
0.773 0.979 0.680
0.772 0.669 0.180
0.272 0.669 0.680
0.773 0.446 0.680
0.273 0.892 0.180

=====

Question: The highest total moment belongs to which entry?
Answer: Be2GaTcSb

=====

Question: Which of these has the highest total moment?
Answer: Be2GaTcSb

=====

Question: What is the calculated volume in the fourth record?
Answer: 120.0 Å³/f.u.

=====

Please write out number 8 again, unchanged.
ScBeGa (PBE, optimized geometry); VASP energy = -28.2 eV/cell; energy of formation = -333 meV per atom; total moment = 0.000 μB/atom; excess energy over the best structure of this formula in the dataset = 106 meV per atom; calculated volume = 45.5 Å³/f.u.; symmetry = No. 74
1.0
-2.041 -1.145 -4.357
-2.810 -0.203 4.177
-1.207 4.355 2.227
Sc Be Ga
2 2 2
direct
0.492 0.003 0.195
0.246 0.258 0.450
0.869 0.630 0.822
0.369 0.630 0.822
0.869 0.130 0.822
0.869 0.630 0.322